Entry from Alexandria: Na3Cd3Ag2 after structural relaxation (PBE).

Cell: 4.7176 4.7428 8.8807 Å, 105.26 104.68 90.41°
Closest atoms and distances in Å follow each position.
Element x y z (fractional)
Na (0.0000, 0.0000, 0.0000)  4 Na 3.25-3.28, 8 Cd 3.33-3.36
Na (0.3638, 0.8633, 0.7270)  4 Ag 2.98-3.05, 2 Na 3.25-3.28, 4 Cd 3.27-3.33
Na (0.6362, 0.1367, 0.2730)  4 Ag 2.98-3.05, 2 Na 3.25-3.28, 4 Cd 3.27-3.33
Cd (0.1490, 0.6417, 0.2838)  4 Ag 2.94-3.00, 1 Cd 3.28
Cd (0.5000, 0.5000, 0.0000)  8 Na 3.27-3.36, 4 Cd 3.28-3.37
Cd (0.8510, 0.3583, 0.7162)  4 Ag 2.94-3.00, 1 Cd 3.28
Ag (0.2411, 0.2468, 0.4948)  4 Cd 2.94-3.00, 4 Na 2.98-3.05, 1 Ag 3.29
Ag (0.7589, 0.7532, 0.5052)  4 Cd 2.94-3.00, 4 Na 2.98-3.05, 1 Ag 3.29

## Properties
Excess energy over the best structure of this formula in the dataset: 18 meV/atom
Density: 5.59 g/cm³
Energy relative to the elements: -53.4 meV per atom

Entry from Alexandria: RbLaMgBr6 after structural relaxation (PBE).

Cell: 7.4004 7.4004 15.1766 Å, 90.00 90.00 120.00°
Closest atoms and distances in Å follow each position.
Element x y z (fractional)
Rb (0.0000, 0.0000, 0.0000)  6 Br 3.52
Rb (0.0000, 0.0000, 0.5000)  6 Br 3.52
La (0.3333, 0.6667, 0.2500)  6 Br 2.96
La (0.6667, 0.3333, 0.7500)  6 Br 2.96
Mg (0.3333, 0.6667, 0.7500)  6 Br 2.72
Mg (0.6667, 0.3333, 0.2500)  6 Br 2.72
Br (0.0245, 0.3841, 0.6440)  1 Mg 2.72, 1 La 2.96
Br (0.0245, 0.6404, 0.8560)  1 Mg 2.72, 1 La 2.96
Br (0.3596, 0.3841, 0.8560)  1 Mg 2.72, 1 La 2.96
Br (0.3596, 0.9755, 0.6440)  1 Mg 2.72, 1 La 2.96
Br (0.3841, 0.0245, 0.1440)  1 Mg 2.72, 1 La 2.96
Br (0.3841, 0.3596, 0.3560)  1 Mg 2.72, 1 La 2.96
Br (0.6159, 0.6404, 0.6440)  1 Mg 2.72, 1 La 2.96
Br (0.6159, 0.9755, 0.8560)  1 Mg 2.72, 1 La 2.96
Br (0.6404, 0.0245, 0.3560)  1 Mg 2.72, 1 La 2.96
Br (0.6404, 0.6159, 0.1440)  1 Mg 2.72, 1 La 2.96
Br (0.9755, 0.3596, 0.1440)  1 Mg 2.72, 1 La 2.96
Br (0.9755, 0.6159, 0.3560)  1 Mg 2.72, 1 La 2.96

## Properties
ΔE_f (raw): -15.96 eV per formula unit
Density: 3.36 g/cm³

Entry from Alexandria: Hf2TiN after structural relaxation (PBE).

Cell: 6.3616 6.3616 7.8074 Å, 90.00 90.00 90.00°
Closest atoms and distances in Å follow each position.
Element x y z (fractional)
Hf (0.1334, 0.2500, 0.1250)  2 N 2.05
Hf (0.2500, 0.6334, 0.3750)  2 N 2.05
Hf (0.2500, 0.8666, 0.8750)  2 N 2.05
Hf (0.3666, 0.2500, 0.6250)  2 N 2.05
Hf (0.6334, 0.7500, 0.6250)  2 N 2.05
Hf (0.7500, 0.1334, 0.8750)  2 N 2.05
Hf (0.7500, 0.3666, 0.3750)  2 N 2.05
Hf (0.8666, 0.7500, 0.1250)  2 N 2.05
Ti (0.0000, 0.0000, 0.5000)  4 Hf 2.99
Ti (0.0000, 0.5000, 0.7500)  4 Hf 2.99
Ti (0.5000, 0.0000, 0.2500)  4 Hf 2.99
Ti (0.5000, 0.5000, 0.0000)  4 Hf 2.99
N (0.0000, 0.0000, 0.0000)  4 Hf 2.05
N (0.0000, 0.5000, 0.2500)  4 Hf 2.05
N (0.5000, 0.0000, 0.7500)  4 Hf 2.05
N (0.5000, 0.5000, 0.5000)  4 Hf 2.05

## Properties
ΔE_f (raw): -0.82 eV per formula unit
Density: 8.81 g/cm³

Entry from Alexandria: Cs2KRbPb after structural relaxation (PBE).

Cell: 7.6657 7.6657 7.3940 Å, 90.00 90.00 90.00°
Closest atoms and distances in Å follow each position.
Element x y z (fractional)
Cs (0.0000, 0.5000, 0.0000)  2 Pb 3.83
Cs (0.5000, 0.0000, 0.0000)  2 Pb 3.83
K (0.0000, 0.0000, 0.5000)  8 Cs 5.33, 4 Rb 5.42
Rb (0.5000, 0.5000, 0.5000)  2 Pb 3.70
Pb (0.5000, 0.5000, 0.0000)  2 Rb 3.70, 4 Cs 3.83

## Properties
Excess energy over the best structure of this formula in the dataset: 19 meV/atom
Density: 2.28 g/cm³
Energy relative to the elements: 72.3 meV per atom

Entry from Alexandria: KRb2IBr4 after structural relaxation (PBE).

Cell: 10.0440 10.0440 9.5265 Å, 114.24 114.24 99.94°
Closest atoms and distances in Å follow each position.
Element x y z (fractional)
K (0.0000, 0.0000, 0.0000)  2 Br 3.20
K (0.0000, 0.0000, 0.5000)  2 Br 3.20
Rb (0.0000, 0.5000, 0.0000)  4 Br 3.33-3.39
Rb (0.5000, 0.0000, 0.5000)  4 Br 3.33-3.39
Rb (0.5000, 0.5000, 0.0000)  2 Br 3.34
Rb (0.5000, 0.5000, 0.5000)  2 Br 3.34
I (0.0000, 0.5000, 0.5000)  2 Br 2.74
I (0.5000, 0.0000, 0.0000)  2 Br 2.74
Br (0.1893, 0.6959, 0.4605)  1 I 2.74
Br (0.2083, 0.2758, 0.9950)  1 K 3.20, 2 Rb 3.33-3.34
Br (0.2758, 0.2083, 0.4950)  1 K 3.20, 2 Rb 3.33-3.34
Br (0.3041, 0.8107, 0.0395)  1 I 2.74
Br (0.6959, 0.1893, 0.9605)  1 I 2.74
Br (0.7242, 0.7917, 0.5050)  1 K 3.20, 2 Rb 3.33-3.34
Br (0.7917, 0.7242, 0.0050)  1 K 3.20, 2 Rb 3.33-3.34
Br (0.8107, 0.3041, 0.5395)  1 I 2.74

## Properties
ΔE_f (raw): -10.23 eV per formula unit
Density: 2.99 g/cm³

Entry from Alexandria: K2Sb4O11 after structural relaxation (PBE).

Cell: 10.6177 10.6177 7.2892 Å, 94.86 94.86 42.35°
Closest atoms and distances in Å follow each position.
Element x y z (fractional)
K (0.0116, 0.0116, 0.2607)  7 O 2.95-3.20
K (0.2417, 0.2417, 0.0037)  4 O 2.84-3.14
K (0.7583, 0.7583, 0.9963)  4 O 2.84-3.14
K (0.9884, 0.9884, 0.7393)  7 O 2.95-3.20
Sb (0.0679, 0.5832, 0.5641)  6 O 1.97-2.06
Sb (0.4168, 0.9321, 0.4359)  6 O 1.97-2.06
Sb (0.4241, 0.4241, 0.3833)  6 O 1.95-2.15
Sb (0.4284, 0.4284, 0.9023)  6 O 1.98-2.12
Sb (0.5716, 0.5716, 0.0977)  6 O 1.98-2.12
Sb (0.5759, 0.5759, 0.6167)  6 O 1.95-2.15
Sb (0.5832, 0.0679, 0.5641)  6 O 1.97-2.06
Sb (0.9321, 0.4168, 0.4359)  6 O 1.97-2.06
O (0.0249, 0.4479, 0.6684)  2 Sb 2.01-2.02
O (0.1558, 0.6678, 0.4304)  2 Sb 2.01-2.04
O (0.1597, 0.1597, 0.3523)  2 Sb 1.97
O (0.1727, 0.5686, 0.8125)  2 Sb 1.98-2.00
O (0.3274, 0.6726, 0.0000)  2 Sb 2.02
O (0.3322, 0.8442, 0.5696)  2 Sb 2.01-2.04
O (0.3332, 0.3332, 0.4896)  3 Sb 2.02-2.06
O (0.3816, 0.3816, 0.1320)  2 Sb 1.95-1.99
O (0.4314, 0.8273, 0.1875)  2 Sb 1.98-2.00
O (0.4479, 0.0249, 0.6684)  2 Sb 2.01-2.02
O (0.4766, 0.4766, 0.6548)  3 Sb 2.01-2.15
O (0.5234, 0.5234, 0.3452)  3 Sb 2.01-2.15
O (0.5521, 0.9751, 0.3316)  2 Sb 2.01-2.02
O (0.5686, 0.1727, 0.8125)  2 Sb 1.98-2.00
O (0.6184, 0.6184, 0.8680)  2 Sb 1.95-1.99
O (0.6668, 0.6668, 0.5104)  3 Sb 2.02-2.06
O (0.6678, 0.1558, 0.4304)  2 Sb 2.01-2.04
O (0.6726, 0.3274, 0.0000)  2 Sb 2.02
O (0.8273, 0.4314, 0.1875)  2 Sb 1.98-2.00
O (0.8403, 0.8403, 0.6477)  2 Sb 1.97
O (0.8442, 0.3322, 0.5696)  2 Sb 2.01-2.04
O (0.9751, 0.5521, 0.3316)  2 Sb 2.01-2.02

## Properties
ΔE_f (raw): -25.91 eV per formula unit
Density: 4.47 g/cm³

Entry from Alexandria: CsAg2IrAu after structural relaxation (PBE).

Cell: 5.6925 5.6925 5.0856 Å, 90.00 90.00 90.00°
Closest atoms and distances in Å follow each position.
Element x y z (fractional)
Cs (0.0000, 0.0000, 0.0000)  2 Ir 2.54, 4 Ag 2.85
Ag (0.0000, 0.5000, 0.0000)  2 Cs 2.85
Ag (0.5000, 0.0000, 0.0000)  2 Cs 2.85
Ir (0.0000, 0.0000, 0.5000)  2 Cs 2.54
Au (0.5000, 0.5000, 0.5000)  8 Ag 3.82, 4 Ir 4.03

## Properties
Density: 7.43 g/cm³
Energy relative to the elements: 2054.1 meV per atom

Entry from Alexandria: Al2CoCu after structural relaxation (PBE).

Cell: 8.1789 2.7759 4.6687 Å, 90.00 102.82 90.00°
Closest atoms and distances in Å follow each position.
Element x y z (fractional)
Al (0.2432, 0.0000, 0.2373)  3 Co 2.48-2.58, 3 Cu 2.56-2.59, 2 Al 2.64
Al (0.2568, 0.5000, 0.7627)  3 Co 2.48-2.58, 3 Cu 2.56-2.59, 2 Al 2.64
Al (0.7432, 0.5000, 0.2373)  3 Co 2.48-2.58, 3 Cu 2.56-2.59, 2 Al 2.64
Al (0.7568, 0.0000, 0.7627)  3 Co 2.48-2.58, 3 Cu 2.56-2.59, 2 Al 2.64
Co (0.0000, 0.5000, 0.0000)  6 Al 2.48-2.58, 4 Cu 2.72
Co (0.5000, 0.0000, 0.0000)  6 Al 2.48-2.58, 4 Cu 2.72
Cu (0.0000, 0.0000, 0.5000)  6 Al 2.56-2.59, 4 Co 2.72, 2 Cu 2.78
Cu (0.5000, 0.5000, 0.5000)  6 Al 2.56-2.59, 4 Co 2.72, 2 Cu 2.78

## Properties
Density: 5.67 g/cm³
Energy relative to the elements: -194.9 meV per atom

Entry from Alexandria: KNi2Ru after structural relaxation (PBE).

Cell: 2.6315 5.4712 10.1482 Å, 90.00 90.00 90.00°
Closest atoms and distances in Å follow each position.
Element x y z (fractional)
K (0.0000, 0.0000, 0.0000)  2 K 2.63
K (0.5000, 0.5000, 0.5000)  2 K 2.63
Ni (0.0000, 0.5000, 0.2050)  2 Ru 2.46, 2 Ni 2.63
Ni (0.0000, 0.5000, 0.7950)  2 Ru 2.46, 2 Ni 2.63
Ni (0.5000, 0.0000, 0.2950)  2 Ru 2.46, 2 Ni 2.63
Ni (0.5000, 0.0000, 0.7050)  2 Ru 2.46, 2 Ni 2.63
Ru (0.0000, 0.0000, 0.5000)  4 Ni 2.46, 2 Ru 2.63
Ru (0.5000, 0.5000, 0.0000)  4 Ni 2.46, 2 Ru 2.63

## Properties
Excess energy over the best structure of this formula in the dataset: 502 meV/atom
Density: 5.85 g/cm³
Energy relative to the elements: 1009.5 meV per atom

Entry from Alexandria: Ti2NbHPd after structural relaxation (PBE).

Cell: 4.3093 4.3093 3.6968 Å, 90.00 90.00 90.00°
Closest atoms and distances in Å follow each position.
Element x y z (fractional)
Ti (0.0000, 0.5000, 0.0000)  2 H 2.15
Ti (0.5000, 0.0000, 0.0000)  2 H 2.15
Nb (0.0000, 0.0000, 0.5000)  2 H 1.85
H (0.0000, 0.0000, 0.0000)  2 Nb 1.85
Pd (0.5000, 0.5000, 0.5000)  8 Ti 2.84, 4 Nb 3.05

## Properties
Excess energy over the best structure of this formula in the dataset: 0 meV/atom
Density: 7.16 g/cm³

Entry from Alexandria: TlW2Cl after structural relaxation (PBE).

Cell: 2.8489 5.0224 5.2142 Å, 90.00 90.00 90.00°
Closest atoms and distances in Å follow each position.
Element x y z (fractional)
Tl (0.0000, 0.0000, 0.0000)  2 Tl 2.85, 4 W 2.89, 4 Cl 2.97
W (0.0000, 0.5000, 0.5000)  6 W 2.85-2.97, 4 Cl 2.89
W (0.5000, 0.5000, 0.0000)  6 W 2.85-2.97, 4 Tl 2.89
Cl (0.5000, 0.0000, 0.5000)  2 Cl 2.85, 4 W 2.89, 4 Tl 2.97

## Properties
ΔE_f (raw): 4.21 eV per formula unit
Excess energy over the best structure of this formula in the dataset: 761 meV/atom
Density: 13.52 g/cm³

Entry from Alexandria: KThTe2O8 after structural relaxation (PBE).

Cell: 6.1647 6.1647 7.7728 Å, 90.00 90.00 120.00°
Closest atoms and distances in Å follow each position.
Element x y z (fractional)
K (0.0000, 0.0000, 0.0000)  6 O 3.02
Th (0.0000, 0.0000, 0.5000)  6 O 2.29
Te (0.3333, 0.6667, 0.2243)  4 O 1.84-1.91
Te (0.6667, 0.3333, 0.7757)  4 O 1.84-1.91
O (0.1670, 0.3340, 0.3143)  1 Te 1.91
O (0.1670, 0.8330, 0.3143)  1 Te 1.91
O (0.3333, 0.6667, 0.9881)  1 Te 1.84
O (0.3340, 0.1670, 0.6857)  1 Te 1.91
O (0.6660, 0.8330, 0.3143)  1 Te 1.91
O (0.6667, 0.3333, 0.0119)  1 Te 1.84
O (0.8330, 0.1670, 0.6857)  1 Te 1.91
O (0.8330, 0.6660, 0.6857)  1 Te 1.91

## Properties
ΔE_f (raw): -19.60 eV per formula unit
Density: 4.25 g/cm³